DFT (PBE) results for crystalline Sr2Au at its relaxed geometry.

It has space group Fd-3m (No. 227, origin choice 2), with a = 13.5747 Å, b = 13.5747 Å, c = 13.5747 Å, α = 90.00°, β = 90.00° and γ = 90.00°. The asymmetric unit holds Sr at (0.0000, 0.0000, 0.0000) and Au at (0.1250, 0.1250, 0.1250).

The uncorrected energy comes out at -2.01 eV per atom.

DFT (PBE) results for crystalline CdSeO4 at its relaxed geometry.

It has space group P-1 (No. 2), with a = 4.9441 Å, b = 4.9666 Å, c = 5.7086 Å, α = 90.55°, β = 90.18° and γ = 94.70°. The asymmetric unit holds Cd at (0.2485, 0.0031, 0.3135), Se at (0.2497, 0.5009, 0.8426), O at (0.0461, 0.2984, 0.0897), O at (0.1195, 0.2695, 0.6397), O at (0.3760, 0.7335, 0.6442) and O at (0.4534, 0.6999, 0.0952).

The uncorrected energy comes out at -4.68 eV per atom.

DFT (PBE) results for crystalline HoTm2Al3AgPd2 at its relaxed geometry.

It has space group Amm2 (No. 38), with a = 3.8406 Å, b = 12.7377 Å, c = 7.3393 Å, α = 90.00°, β = 90.00° and γ = 90.00°. The asymmetric unit holds Ho at (0.0000, 0.0000, 0.0000), Tm at (0.0000, 0.2072, 0.6216), Al at (0.5000, 0.0000, 0.6699), Al at (0.5000, 0.1282, 0.2873), Ag at (0.0000, 0.0000, 0.4157) and Pd at (0.5000, 0.1679, 0.9142).

The uncorrected energy comes out at -4.93 eV per atom. Its total magnetization is 0.04 μB/f.u.

DFT (PBE) results for crystalline BaGdZn2Si2 at its relaxed geometry.

It has space group P-3m1 (No. 164), with a = 4.2305 Å, b = 4.2305 Å, c = 9.0871 Å, α = 90.00°, β = 90.00° and γ = 120.00°. The asymmetric unit holds Ba at (0.0000, 0.0000, 0.0000), Gd at (0.0000, 0.0000, 0.5000), Zn at (0.3333, 0.6667, 0.7202) and Si at (0.3333, 0.6667, 0.2895).

The uncorrected energy comes out at -3.82 eV per atom. Its total magnetization is 0.09 μB/f.u.

DFT (PBE) results for crystalline CuSeS at its relaxed geometry.

It has space group Pmn2_1 (No. 31), with a = 3.6822 Å, b = 6.0528 Å, c = 4.8651 Å, α = 90.00°, β = 90.00° and γ = 90.00°. The asymmetric unit holds Cu at (0.0000, 0.2278, 0.0000), Se at (0.0000, 0.6396, 0.8308) and S at (0.0000, 0.8605, 0.1928).

As for the energy above the lowest structure with this stoichiometry: 0.0 meV per atom.

DFT (PBE) results for crystalline Pt3Se2Cl2O6 at its relaxed geometry.

It has space group C2/m (No. 12), with a = 8.9780 Å, b = 6.2584 Å, c = 7.9134 Å, α = 90.00°, β = 103.49° and γ = 90.00°. The asymmetric unit holds Pt at (0.0000, 0.0000, 0.0000), Pt at (0.0094, 0.5000, 0.7796), Se at (0.1450, 0.0000, 0.7067), Cl at (0.2023, 0.5000, 0.6436), O at (0.0123, 0.1822, 0.7888) and O at (0.1936, 0.5000, 0.1283).

The uncorrected energy comes out at -4.80 eV per atom. Its total magnetization is 0.01 μB/f.u.

DFT (PBE) results for crystalline ZrTaZnNi at its relaxed geometry.

It has space group F-43m (No. 216), with a = 6.4533 Å, b = 6.4533 Å, c = 6.4533 Å, α = 90.00°, β = 90.00° and γ = 90.00°. The asymmetric unit holds Zr at (0.0000, 0.0000, 0.0000), Ta at (0.2500, 0.2500, 0.2500), Zn at (0.0000, 0.0000, 0.5000) and Ni at (0.2500, 0.2500, 0.7500).

The uncorrected energy comes out at -6.55 eV per atom. Its total magnetization is 2.99 μB/f.u.

DFT (PBE) results for crystalline BaAcNd at its relaxed geometry.

It has space group F-43m (No. 216), with a = 8.6380 Å, b = 8.6380 Å, c = 8.6380 Å, α = 90.00°, β = 90.00° and γ = 90.00°. The asymmetric unit holds Ba at (0.0000, 0.0000, 0.0000), Ac at (0.0000, 0.0000, 0.5000) and Nd at (0.2500, 0.2500, 0.2500).

As for the energy above the lowest structure with this stoichiometry: 0.0 meV per atom. Its total magnetization is 0.16 μB/f.u.

DFT (PBE) results for crystalline GdTmAlCo2 at its relaxed geometry.

It has space group Imm2 (No. 44), with a = 4.0240 Å, b = 5.4368 Å, c = 8.2884 Å, α = 90.00°, β = 90.00° and γ = 90.00°. The asymmetric unit holds Gd at (0.0000, 0.0000, 0.0000), Tm at (0.0000, 0.0000, 0.5914), Al at (0.0000, 0.5000, 0.7962) and Co at (0.0000, 0.2756, 0.2948).

The uncorrected energy comes out at -5.81 eV per atom. Its total magnetization is 0.00 μB/f.u.

DFT (PBE) results for crystalline HfZnNi2 at its relaxed geometry.

It has space group P4/mmm (No. 123), with a = 3.1245 Å, b = 3.1245 Å, c = 5.7732 Å, α = 90.00°, β = 90.00° and γ = 90.00°. The asymmetric unit holds Hf at (0.0000, 0.0000, 0.0000), Zn at (0.0000, 0.0000, 0.5000) and Ni at (0.5000, 0.5000, 0.2659).

The uncorrected energy comes out at -5.96 eV per atom. Its total magnetization is 0.00 μB/f.u.

DFT (PBE) results for crystalline RbNbPtSe3 at its relaxed geometry.

It has space group P2_1/m (No. 11), with a = 8.5896 Å, b = 3.7744 Å, c = 10.1558 Å, α = 90.00°, β = 114.33° and γ = 90.00°. The asymmetric unit holds Rb at (0.0202, 0.2500, 0.2814), Nb at (0.4640, 0.2500, 0.1740), Pt at (0.4572, 0.7500, 0.3783), Se at (0.2321, 0.7500, 0.1277), Se at (0.3114, 0.7500, 0.5640) and Se at (0.3392, 0.2500, 0.8779).

The uncorrected energy comes out at -5.38 eV per atom. Its total magnetization is 0.00 μB/f.u.

DFT (PBE) results for crystalline Co2Pd at its relaxed geometry.

It has space group Fd-3m (No. 227, origin choice 2), with a = 6.7026 Å, b = 6.7026 Å, c = 6.7026 Å, α = 90.00°, β = 90.00° and γ = 90.00°. The asymmetric unit holds Co at (0.0000, 0.0000, 0.0000) and Pd at (0.1250, 0.1250, 0.6250).

The uncorrected energy comes out at -6.40 eV per atom. Its total magnetization is 3.90 μB/f.u.